Record 1
Below is an optimized crystal structure of ZnFeTcW, with properties calculated at the PBE-GGA level.

The energy relative to the lowest polymorph listed for this composition comes out at 0.00 eV/f.u. The calculation puts the energy of formation at 0.091 eV per atom.

Structure (extended XYZ):
```
4
Lattice="0.000 3.018 3.018 3.018 0.000 3.018 3.018 3.018 0.000" Properties=species:S:1:pos:R:3 pbc="T T T"
Zn 0.000 0.000 0.000
Fe 1.509 1.509 1.509
Tc 4.527 4.527 4.527
W 3.018 3.018 3.018
```



Record 2
Below is an optimized crystal structure of Pr2Al2IBr, with properties calculated at the PBE-GGA level.

Structure (extended XYZ):
```
6
Lattice="4.361 0.000 0.000 -2.181 3.777 0.000 0.000 0.000 12.267" Properties=species:S:1:pos:R:3 pbc="T T T"
Pr 0.000 0.000 0.000
Pr 0.000 0.000 4.334
Al 0.000 2.518 2.333
Al 2.181 1.259 1.992
I 0.000 2.518 10.207
Br 2.181 1.259 6.110
```



Record 3
Below is an optimized crystal structure of GaSi17NiGe13, with properties calculated at the PBE-GGA level.

Structure (extended XYZ):
```
32
Lattice="5.582 0.000 0.000 0.000 3.934 0.000 -0.042 0.000 31.264" Properties=species:S:1:pos:R:3 pbc="T T T"
Ga 0.000 0.000 0.000
Si 1.329 0.000 5.534
Si 1.314 0.000 21.279
Si 1.330 0.000 13.479
Si 1.338 0.000 29.222
Si 2.474 1.967 1.844
Si 2.676 1.967 5.623
Si 2.664 1.967 13.526
Si 2.662 1.967 21.303
Si 2.662 1.967 29.168
Si 2.714 1.967 25.179
Si 4.056 1.967 7.531
Si 4.039 1.967 23.229
Si 4.053 1.967 15.426
Si 4.110 1.967 19.427
Si 5.453 0.000 19.415
Si 5.522 0.000 11.578
Si 5.556 0.000 3.552
Ni 1.453 0.000 1.882
Ge 1.267 0.000 9.562
Ge 1.259 0.000 17.445
Ge 1.321 0.000 25.206
Ge 2.737 1.967 9.549
Ge 2.730 1.967 17.442
Ge 3.934 1.967 31.225
Ge 4.052 1.967 27.192
Ge 4.107 1.967 3.653
Ge 4.125 1.967 11.597
Ge 5.459 0.000 7.501
Ge 5.451 0.000 15.405
Ge 5.443 0.000 23.209
Ge 5.513 0.000 27.251
```



Record 4
Below is an optimized crystal structure of Nd3Cd3Ga2Ag, with properties calculated at the PBE-GGA level.

Structure (extended XYZ):
```
9
Lattice="7.586 0.000 0.000 -3.793 6.569 0.000 0.000 0.000 4.401" Properties=species:S:1:pos:R:3 pbc="T T T"
Nd -1.577 2.732 0.000
Nd 3.154 0.000 0.000
Nd 2.216 3.838 0.000
Cd -2.841 4.921 2.201
Cd 0.952 1.648 2.201
Cd 5.683 0.000 2.201
Ga 0.000 4.380 2.201
Ga 3.793 2.190 2.201
Ag 0.000 0.000 0.000
```



no.,final energy (eV/atom)
1,-8.133
2,-4.412
3,-4.979
4,-3.360